Record 1
The following is a DFT calculation (GGA-PBE) of an optimized crystal structure of AcPmPtPb.

Lattice parameters (Å, degrees): 7.7525 7.7525 7.7525 90.00 90.00 90.00
Last column: nearest neighbours and their distance in Å.
Space group F-43m (No. 216)
Symmetry-distinct sites (fractional):
1 Ac 0.0000 0.0000 0.0000 (multiplicity 4)  4 Pt 3.36, 4 Pb 3.36
2 Pm 0.0000 0.0000 0.5000 (multiplicity 4)  4 Pb 3.36, 4 Pt 3.36
3 Pt 0.2500 0.2500 0.2500 (multiplicity 4)  4 Pm 3.36, 4 Ac 3.36
4 Pb 0.2500 0.2500 0.7500 (multiplicity 4)  4 Ac 3.36, 4 Pm 3.36

For the formation energy from the elements, the calculation gives -0.640 eV/atom.

=====

Record 2
The following is a DFT calculation (GGA-PBE) of an optimized crystal structure of Pm2RhF.

Lattice parameters (Å, degrees): 4.1978 4.1978 22.6240 90.00 90.00 120.00
Last column: nearest neighbours and their distance in Å.
Space group R-3m (No. 166, hexagonal axes)
Symmetry-distinct sites (fractional):
1 Pm 0.0000 0.0000 0.1011 (multiplicity 6)  1 F 2.29
2 Rh 0.0000 0.0000 0.5000 (multiplicity 3)  6 Pm 2.84
3 F 0.0000 0.0000 0.0000 (multiplicity 3)  2 Pm 2.29

The value obtained for the total energy is -25.437 eV/f.u.

=====

Record 3
The following is a DFT calculation (GGA-PBE) of an optimized crystal structure of CsNaTeI2.

Lattice parameters (Å, degrees): 6.1475 6.1475 5.8237 90.00 90.00 90.00
Last column: nearest neighbours and their distance in Å.
Space group P4/mmm (No. 123)
Symmetry-distinct sites (fractional):
1 Cs 0.0000 0.0000 0.0000 (multiplicity 1)  8 I 4.23, 4 Te 4.35
2 Na 0.5000 0.5000 0.5000 (multiplicity 1)  2 Te 2.91, 4 I 3.07
3 Te 0.5000 0.5000 0.0000 (multiplicity 1)  2 Na 2.91
4 I 0.0000 0.5000 0.5000 (multiplicity 2)  2 Na 3.07

The value obtained for the total energy is -11.726 eV/f.u.

=====

Record 4
The following is a DFT calculation (GGA-PBE) of an optimized crystal structure of ZnAgAu2.

Lattice parameters (Å, degrees): 7.3679 7.3679 5.4962 90.00 90.00 90.00
Last column: nearest neighbours and their distance in Å.
Space group I-42d (No. 122)
Symmetry-distinct sites (fractional):
1 Zn 0.0000 0.0000 0.0000 (multiplicity 4)  4 Au 2.58, 2 Ag 2.75
2 Ag 0.0000 0.0000 0.5000 (multiplicity 4)  2 Zn 2.75, 4 Au 2.81
3 Au 0.2273 0.2500 0.1250 (multiplicity 8)  2 Zn 2.58, 2 Au 2.77, 2 Ag 2.81

For the formation energy from the elements, the calculation gives 0.022 eV/atom.

=====

Record 5
The following is a DFT calculation (GGA-PBE) of an optimized crystal structure of SrCaI.

Lattice parameters (Å, degrees): 4.2309 4.2309 8.0717 90.00 90.00 120.00
Last column: nearest neighbours and their distance in Å.
Space group P3m1 (No. 156)
Symmetry-distinct sites (fractional):
1 Sr 0.0000 0.0000 0.0000 (multiplicity 1)  3 I 3.54
2 Ca 0.3333 0.6667 0.6103 (multiplicity 1)  3 I 3.40
3 I 0.6667 0.3333 0.3166 (multiplicity 1)  3 Ca 3.40, 3 Sr 3.54

The value obtained for the total energy is -7.381 eV/f.u.

=====

Record 6
The following is a DFT calculation (GGA-PBE) of an optimized crystal structure of TlTe2IF.

Lattice parameters (Å, degrees): 4.7835 4.7835 7.2782 90.00 90.00 90.00
Last column: nearest neighbours and their distance in Å.
Space group P4/mmm (No. 123)
Symmetry-distinct sites (fractional):
1 Tl 0.0000 0.0000 0.0000 (multiplicity 1)  4 I 3.38
2 Te 0.0000 0.5000 0.5000 (multiplicity 2)  2 F 2.39
3 I 0.5000 0.5000 0.0000 (multiplicity 1)  4 Tl 3.38, 2 F 3.64
4 F 0.5000 0.5000 0.5000 (multiplicity 1)  4 Te 2.39

The value obtained for the total energy is -13.467 eV/f.u.

=====

Record 7
The following is a DFT calculation (GGA-PBE) of an optimized crystal structure of TbScCo.

Lattice parameters (Å, degrees): 3.5105 6.4276 11.5026 90.00 90.00 90.00
Last column: nearest neighbours and their distance in Å.
Space group Immm (No. 71)
Symmetry-distinct sites (fractional):
1 Tb 0.0000 0.0000 0.2169 (multiplicity 4)  2 Co 2.65
2 Sc 0.0000 0.2358 0.5000 (multiplicity 4)  4 Co 2.64
3 Co 0.0000 0.5000 0.1102 (multiplicity 4)  1 Co 2.53, 4 Sc 2.64, 2 Tb 2.65

For the formation energy from the elements, the calculation gives -0.188 eV/atom.

=====

Record 8
The following is a DFT calculation (GGA-PBE) of an optimized crystal structure of Sm6Ni2Au.

Lattice parameters (Å, degrees): 9.3980 9.8772 10.1050 90.00 90.00 90.00
Last column: nearest neighbours and their distance in Å.
Space group Immm (No. 71)
Symmetry-distinct sites (fractional):
1 Sm 0.0000 0.1931 0.2323 (multiplicity 8)  1 Ni 2.84, 1 Au 3.02
2 Sm 0.1936 0.5000 0.1726 (multiplicity 8)  3 Ni 2.76-2.90
3 Sm 0.2110 0.3213 0.5000 (multiplicity 8)  3 Ni 2.93-3.23, 1 Au 3.24
4 Ni 0.0000 0.3555 0.0000 (multiplicity 4)  6 Sm 2.84-2.90, 1 Ni 2.85
5 Ni 0.0000 0.5000 0.3774 (multiplicity 4)  1 Ni 2.48, 2 Sm 2.76
6 Au 0.0000 0.0000 0.0000 (multiplicity 2)  8 Sm 3.02-3.24
7 Au 0.0000 0.0000 0.5000 (multiplicity 2)  8 Sm 3.31-3.37

For the formation energy from the elements, the calculation gives -0.347 eV/atom.

=====

Record 9
The following is a DFT calculation (GGA-PBE) of an optimized crystal structure of DyEr3Sn.

Lattice parameters (Å, degrees): 8.4282 8.4282 16.1316 90.00 90.00 120.00
Last column: nearest neighbours and their distance in Å.
Space group R3c (No. 161, hexagonal axes)
Symmetry-distinct sites (fractional):
1 Dy 0.0000 0.0000 0.0000 (multiplicity 6)  1 Sn 3.01
2 Er 0.0400 0.2634 0.3262 (multiplicity 18)  2 Sn 3.06-3.07
3 Sn 0.0000 0.0000 0.1864 (multiplicity 6)  1 Dy 3.01, 6 Er 3.06-3.07

For the formation energy from the elements, the calculation gives 0.043 eV/atom.

=====

Record 10
The following is a DFT calculation (GGA-PBE) of an optimized crystal structure of Mg2H2Pd5.

Lattice parameters (Å, degrees): 4.0088 4.0088 7.5717 90.00 90.00 90.00
Last column: nearest neighbours and their distance in Å.
Space group P4/mmm (No. 123)
Symmetry-distinct sites (fractional):
1 Mg 0.0000 0.0000 0.0000 (multiplicity 1)  8 Pd 2.68
2 Mg 0.0000 0.0000 0.5000 (multiplicity 1)  12 Pd 2.83-2.84
3 H 0.5000 0.5000 0.2359 (multiplicity 2)  5 Pd 2.00
4 Pd 0.0000 0.5000 0.2341 (multiplicity 4)  2 H 2.00
5 Pd 0.5000 0.5000 0.5000 (multiplicity 1)  2 H 2.00

The value obtained for the total energy is -39.414 eV/f.u.

=====

Record 11
The following is a DFT calculation (GGA-PBE) of an optimized crystal structure of Sc2MnMo.

Lattice parameters (Å, degrees): 3.0803 3.6544 6.4773 90.00 90.00 90.00
Last column: nearest neighbours and their distance in Å.
Space group Pmmm (No. 47)
Symmetry-distinct sites (fractional):
1 Sc 0.0000 0.0000 0.2483 (multiplicity 2)  4 Mn 2.88, 4 Mo 2.89, 3 Sc 3.08-3.22
2 Mn 0.5000 0.5000 0.0000 (multiplicity 1)  8 Sc 2.88, 2 Mn 3.08
3 Mo 0.5000 0.5000 0.5000 (multiplicity 1)  8 Sc 2.89, 2 Mo 3.08, 2 Mn 3.24

For the formation energy from the elements, the calculation gives 0.206 eV/atom.

=====

Record 12
The following is a DFT calculation (GGA-PBE) of an optimized crystal structure of Ac2H2SeI.

Lattice parameters (Å, degrees): 4.2780 4.2780 9.2780 90.00 90.00 120.00
Last column: nearest neighbours and their distance in Å.
Space group P-3m1 (No. 164)
Symmetry-distinct sites (fractional):
1 Ac 0.3333 0.6667 0.2111 (multiplicity 2)  3 H 2.49
2 H 0.3333 0.6667 0.7549 (multiplicity 2)  3 Ac 2.49
3 Se 0.0000 0.0000 0.0000 (multiplicity 1)  6 Ac 3.15, 6 H 3.36
4 I 0.0000 0.0000 0.5000 (multiplicity 1)  6 H 3.42, 6 Ac 3.64

The value obtained for the total energy is -27.123 eV/f.u.